Material: InGa2Pd2
Method: DFT, PBE-GGA
State: relaxed

Calculated values
**Energy**: -4.251 eV/atom
**ρ**: 8.756 g cm⁻³
**Crystal system**: tetragonal

Cell lengths 6.9385, 6.9385, 6.9385 Å; angles 148.95, 148.95, 44.48 degrees
Sites, in units of the cell vectors:
In 0.0000 0.0000 0.0000
Ga 0.2500 0.7500 0.5000
Ga 0.7500 0.2500 0.5000
Pd 0.3911 0.3911 0.0000
Pd 0.6089 0.6089 0.0000